[1]
Nb2H | PBE | optimized geometry

Results
total moment	0.002	μB/atom
uncorrected energy	-18.6	eV per formula unit
symmetry	No. 227

a = 5.3369 Å, b = 5.3369 Å, c = 5.3369 Å
α = 60.00°, β = 60.00°, γ = 60.00°
With the nearest neighbours (Å) after each atom.
Fractional positions:
Nb  0.6250  0.1250  0.6250  6 Nb 2.67
Nb  0.6250  0.6250  0.6250  6 Nb 2.67
Nb  0.1250  0.6250  0.6250  6 Nb 2.67
Nb  0.6250  0.6250  0.1250  6 Nb 2.67
H  0.2500  0.2500  0.2500  12 Nb 3.13, 4 H 3.27
H  0.0000  0.0000  0.0000  12 Nb 3.13, 4 H 3.27

[2]
Nb4H7 | PBE | optimized geometry

Results
total moment	0.000	μB/atom
uncorrected energy	-66.4	eV per formula unit
symmetry	No. 215

a = 4.5166 Å, b = 4.5166 Å, c = 4.5166 Å
α = 90.00°, β = 90.00°, γ = 90.00°
With the nearest neighbours (Å) after each atom.
Fractional positions:
H  0.5000  0.5000  0.0000  4 Nb 1.95
H  0.0000  0.0000  0.5000  4 Nb 1.96
H  0.0000  0.5000  0.0000  4 Nb 1.96
H  0.0000  0.5000  0.5000  4 Nb 1.95
H  0.5000  0.0000  0.5000  4 Nb 1.95
H  0.5000  0.0000  0.0000  4 Nb 1.96
H  0.0000  0.0000  0.0000  4 Nb 1.98
Nb  0.2533  0.2533  0.2533  7 H 1.95-1.98
Nb  0.2533  0.7467  0.7467  7 H 1.95-1.98
Nb  0.7467  0.7467  0.2533  7 H 1.95-1.98
Nb  0.7467  0.2533  0.7467  7 H 1.95-1.98

[3]
NbH4 | PBE | optimized geometry

Results
total moment	0.001	μB/atom
uncorrected energy	-23.4	eV per formula unit
E above lowest polymorph	0.0770	eV per atom
symmetry	No. 11

a = 4.8478 Å, b = 3.2073 Å, c = 7.8987 Å
α = 90.00°, β = 100.47°, γ = 90.00°
With the nearest neighbours (Å) after each atom.
Fractional positions:
H  0.6543  0.7500  0.5182  4 H 1.82-2.01, 1 Nb 1.93
H  0.3677  0.2500  0.0439  3 Nb 1.91-1.98, 2 H 2.02-2.12
H  0.9561  0.2500  0.8962  4 Nb 1.94-2.08, 4 H 2.05-2.12
H  0.5699  0.2500  0.2906  5 H 1.84-2.03, 3 Nb 1.94-1.97
H  0.8968  0.7500  0.7224  3 H 1.82-1.99, 3 Nb 1.97-2.01
H  0.9909  0.2500  0.5940  1 H 0.82
H  0.4301  0.7500  0.7094  5 H 1.84-2.03, 3 Nb 1.94-1.97
H  0.1277  0.7500  0.4951  1 H 0.82
H  0.0091  0.7500  0.4060  1 H 0.82
H  0.8723  0.2500  0.5049  1 H 0.82
H  0.3457  0.2500  0.4818  4 H 1.82-2.01, 1 Nb 1.93
H  0.6323  0.7500  0.9561  3 Nb 1.91-1.98, 2 H 2.02-2.12
H  0.7139  0.7500  0.2341  3 H 1.79-1.84, 3 Nb 1.97-1.99
H  0.0438  0.7500  0.1038  4 Nb 1.94-2.08, 4 H 2.05-2.12
H  0.1032  0.2500  0.2776  3 H 1.82-1.99, 3 Nb 1.97-2.01
H  0.2861  0.2500  0.7659  3 H 1.79-1.84, 3 Nb 1.97-1.99
Nb  0.3567  0.7500  0.3198  11 H 1.93-2.07
Nb  0.7691  0.2500  0.0938  10 H 1.91-2.08
Nb  0.6433  0.2500  0.6802  11 H 1.93-2.07
Nb  0.2309  0.7500  0.9062  10 H 1.91-2.08